Density functional theory data (PBE) for a relaxed structure of LaNdGd.

Lattice parameters (Å, degrees): 3.6778 3.6778 8.9501 90.00 90.00 120.00
Last column: magnetic moment on the atom in μB.
Positions (direct):
Gd1 0.0000 0.0000 0.9983  -7.24
Nd1 0.3333 0.6667 0.6708  0.02
La1 0.6667 0.3333 0.3309  0.02

Values from the calculation:
As for the density of states at the Fermi level: 1.70 states/eV per atom. The calculation puts the formation energy at 0.016 eV/atom. The offset from the most stable computed form comes out at 6 meV per atom. The calculation puts the total DFT energy (no corrections) at -7.91 eV per atom.